# 1
First-principles (PBE) data for a relaxed structure of TiNb12Al3, as listed in Alexandria via LeMat-Bulk.

ΔE_f = -0.168 eV per atom
Mass density = 7.27 Mg/m³
M_tot = 0.00 μB/atom

Geometry as CIF:
```
data_TiNb12Al3
_chemical_formula_sum 'Ti1 Nb12 Al3'
_cell_length_a 5.2100
_cell_length_b 5.2380
_cell_length_c 10.4125
_cell_angle_alpha 90.00
_cell_angle_beta 90.00
_cell_angle_gamma 90.00
_symmetry_space_group_name_H-M 'P m m m'
_symmetry_Int_Tables_number 47
loop_
_symmetry_equiv_pos_as_xyz
'x,y,z'
'-x,-y,-z'
'-x,-y,z'
'x,y,-z'
'x,-y,-z'
'-x,y,z'
'-x,y,-z'
'x,-y,z'
loop_
_atom_site_label
_atom_site_type_symbol
_atom_site_fract_x
_atom_site_fract_y
_atom_site_fract_z
Ti1 Ti 0.0000 0.0000 0.0000
Nb1 Nb 0.0000 0.2479 0.2515
Nb2 Nb 0.2453 0.5000 0.5000
Nb3 Nb 0.2498 0.5000 0.0000
Nb4 Nb 0.5000 0.0000 0.1263
Nb5 Nb 0.5000 0.0000 0.3763
Al1 Al 0.0000 0.0000 0.5000
Al2 Al 0.5000 0.5000 0.2508
```

***

# 2
First-principles (PBE) data for a relaxed structure of Li2MoPt2, as listed in Alexandria via LeMat-Bulk.

ΔE_f = -0.265 eV per atom
Mass density = 12.25 Mg/m³
M_tot = 0.12 μB/atom

Geometry as CIF:
```
data_Li2MoPt2
_chemical_formula_sum 'Li4 Mo2 Pt4'
_cell_length_a 7.0439
_cell_length_b 7.0439
_cell_length_c 2.7322
_cell_angle_alpha 90.00
_cell_angle_beta 90.00
_cell_angle_gamma 90.00
_symmetry_space_group_name_H-M 'P 4/m b m'
_symmetry_Int_Tables_number 127
_symmetry_space_group_name_Hall '-P 4 2ab'
loop_
_atom_site_label
_atom_site_type_symbol
_atom_site_fract_x
_atom_site_fract_y
_atom_site_fract_z
Li1 Li 0.1064 0.3936 0.0000
Mo1 Mo 0.0000 0.0000 0.0000
Pt1 Pt 0.1939 0.6939 0.5000
```

***

# 3
First-principles (PBE) data for a relaxed structure of CaDy4Y5, as listed in Alexandria via LeMat-Bulk.

ΔE_f = 0.039 eV per atom
Mass density = 5.75 Mg/m³
M_tot = 0.00 μB/atom

Geometry as CIF:
```
data_CaDy4Y5
_chemical_formula_sum 'Ca1 Dy4 Y5'
_cell_length_a 3.5844
_cell_length_b 3.5844
_cell_length_c 25.5077
_cell_angle_alpha 90.00
_cell_angle_beta 90.00
_cell_angle_gamma 90.00
_symmetry_space_group_name_H-M 'P 4/m m m'
_symmetry_Int_Tables_number 123
_symmetry_space_group_name_Hall '-P 4 2'
loop_
_atom_site_label
_atom_site_type_symbol
_atom_site_fract_x
_atom_site_fract_y
_atom_site_fract_z
Ca1 Ca 0.0000 0.0000 0.0000
Dy1 Dy 0.0000 0.0000 0.2053
Dy2 Dy 0.0000 0.0000 0.4019
Y1 Y 0.5000 0.5000 0.1109
Y2 Y 0.5000 0.5000 0.3045
Y3 Y 0.5000 0.5000 0.5000
```

***

What is the formula in the third record? CaDy4Y5